Density functional theory data (PBE-GGA) for a relaxed CoBr2N crystal.

a b c (Å): 7.677 7.677 7.677
angles (deg): 28.28 28.28 28.28
Sites, in units of the cell vectors:
Co 0.000 0.000 0.000
Br 0.397 0.397 0.397
Br 0.603 0.603 0.603
N 0.500 0.500 0.500

Results
As for the density of states at the Fermi level: 6.62 states/eV/f.u. The value obtained for the energy relative to the lowest polymorph listed for this composition is 9.40 kJ/mol of atoms. Its space group is R-3m. As for the magnetization: 4.01 μB/f.u. The energy comes out at -3.493 eV per atom. The value obtained for the uncorrected formation energy is 1.201 eV per atom. The calculated volume comes out at 22.44 Å³ per atom.


Density functional theory data (PBE-GGA) for a relaxed ZrNiBi2Sb crystal.

a b c (Å): 5.618 5.618 5.470
angles (deg): 90.00 90.00 90.00
Sites, in units of the cell vectors:
Zr 0.000 0.000 0.000
Ni 0.500 0.500 0.500
Bi 0.000 0.500 0.000
Bi 0.500 0.000 0.000
Sb 0.000 0.000 0.500

Results
As for the density of states at the Fermi level: 8.46 states/eV/f.u. Its space group is P4/mmm. As for the magnetization: 0.01 μB/f.u. The energy comes out at -4.390 eV per atom. The value obtained for the uncorrected formation energy is 0.853 eV per atom. The calculated volume comes out at 34.53 Å³ per atom.


Density functional theory data (PBE-GGA) for a relaxed Sc4As3 crystal.

a b c (Å): 11.117 11.117 11.117
angles (deg): 160.62 160.62 27.55
Sites, in units of the cell vectors:
Sc 0.065 0.065 0.000
Sc 0.309 0.309 0.000
Sc 0.691 0.691 0.000
Sc 0.935 0.935 0.000
As 0.184 0.184 0.000
As 0.500 0.500 0.000
As 0.816 0.816 0.000

Results
As for the density of states at the Fermi level: 5.24 states/eV/f.u. The value obtained for the energy relative to the lowest polymorph listed for this composition is 11.90 kJ/mol of atoms. Its space group is I4/mmm. The calculation puts the formation energy at -1.007 eV/atom. As for the magnetization: 0.03 μB/f.u. The energy comes out at -6.618 eV per atom. The calculated volume comes out at 21.61 Å³ per atom.


Density functional theory data (PBE-GGA) for a relaxed AlSb crystal.

a b c (Å): 3.117 3.117 9.643
angles (deg): 90.00 90.00 97.97
Sites, in units of the cell vectors:
Al 0.250 0.750 0.904
Al 0.750 0.250 0.096
Sb 0.250 0.750 0.324
Sb 0.750 0.250 0.676

Results
As for the density of states at the Fermi level: 0.47 states/eV/f.u. Its space group is Cmme. As for the magnetization: 0.00 μB/f.u. The energy comes out at -3.800 eV per atom. The value obtained for the uncorrected formation energy is 0.133 eV per atom. The calculated volume comes out at 23.19 Å³ per atom.